Entry 1:
# CdMoP, optimized geometry, DFT GGA-PBE
# Relative energy among the computed polymorphs = 96 meV/atom
# Total magnetic moment = 0.00 μB per atom
# E = -16.976 eV/cell
# Mass density = 7.37 g/cm³
# Energy of formation from the pure elements = 0.18 eV per formula unit
data_CdMoP
_chemical_formula_sum 'Cd1 Mo1 P1'
_symmetry_space_group_name_H-M 'P 3 m 1'
_symmetry_Int_Tables_number 156
_symmetry_space_group_name_Hall 'P 3 -2"'
_cell_length_a 3.0863
_cell_length_b 3.0863
_cell_length_c 6.5348
_cell_angle_alpha 90.00
_cell_angle_beta 90.00
_cell_angle_gamma 120.00
loop_
_atom_site_label
_atom_site_fract_x
_atom_site_fract_y
_atom_site_fract_z
Cd1 0.0000 0.0000 0.0000
Mo1 0.6667 0.3333 0.3709
P1 0.3333 0.6667 0.6153

Entry 2:
# TbErSbSe, optimized geometry, DFT GGA-PBE
# Formation energy without anion corrections = -1.4125 eV per atom
# Total magnetic moment = 0.00 μB per atom
# E = -22.450 eV/cell
# Mass density = 8.12 g/cm³
data_TbErSbSe
_chemical_formula_sum 'Tb1 Er1 Sb1 Se1'
_symmetry_space_group_name_H-M 'P 4/m m m'
_symmetry_Int_Tables_number 123
_symmetry_space_group_name_Hall '-P 4 2'
_cell_length_a 4.246
_cell_length_b 4.246
_cell_length_c 5.976
_cell_angle_alpha 90.00
_cell_angle_beta 90.00
_cell_angle_gamma 90.00
loop_
_atom_site_label
_atom_site_fract_x
_atom_site_fract_y
_atom_site_fract_z
Tb1 0.000 0.000 0.000
Er1 0.500 0.500 0.500
Sb1 0.500 0.500 0.000
Se1 0.000 0.000 0.500

Entry 3:
# HfSc2Si2, optimized geometry, DFT GGA-PBE
# Formation energy without anion corrections = -0.7018 eV per atom
# Total magnetic moment = 0.00 μB per atom
# E = -73.943 eV/cell
# Mass density = 5.73 g/cm³
data_HfSc2Si2
_chemical_formula_sum 'Hf2 Sc4 Si4'
_symmetry_space_group_name_H-M 'P 4/m b m'
_symmetry_Int_Tables_number 127
_symmetry_space_group_name_Hall '-P 4 2ab'
_cell_length_a 7.072
_cell_length_b 7.072
_cell_length_c 3.764
_cell_angle_alpha 90.00
_cell_angle_beta 90.00
_cell_angle_gamma 90.00
loop_
_atom_site_label
_atom_site_fract_x
_atom_site_fract_y
_atom_site_fract_z
Hf1 0.000 0.000 0.000
Sc1 0.175 0.325 0.500
Si1 0.124 0.624 0.000